TmMnV2O8: optimized geometry, PBE with a Hubbard U.

Computed properties:
V in Å³/cell: 162
M_tot in μB/cell: 2.00
Raw total energy in eV per cell: -90.8
SG: P-3m1

a b c (Å): 5.7534 5.7534 5.6638
angles (deg): 90.00 90.00 120.00
With the nearest neighbours (Å) after each atom.
Positions (direct):
O 0.8418 0.6836 0.2791  1 V 1.81, 1 Mn 2.01
O 0.8418 0.1582 0.2791  1 V 1.81, 1 Mn 2.01
O 0.3333 0.6667 0.3501  1 V 1.62
O 0.1582 0.8418 0.7209  1 V 1.81, 1 Mn 2.01
O 0.6667 0.3333 0.6499  1 V 1.62
O 0.6836 0.8418 0.7209  1 V 1.81, 1 Mn 2.01
O 0.1582 0.3164 0.7209  1 V 1.81, 1 Mn 2.01
O 0.3164 0.1582 0.2791  1 V 1.81, 1 Mn 2.01
Mn 0.0000 0.0000 0.5000  6 O 2.01
V 0.6667 0.3333 0.3644  4 O 1.62-1.81
V 0.3333 0.6667 0.6356  4 O 1.62-1.81
Tm 0.0000 0.0000 0.0000  6 O 2.23